# MgGaAu2

An optimized crystal structure of MgGaAu2 (PBE-GGA, the Alexandria database).

Structure (POSCAR):
```
MgGaAu2
1.0
-0.160 -3.549 -5.131
-0.931 -1.057 6.080
-2.563 3.976 4.071
Au Ga Mg
2 1 1
direct
0.000 0.257 0.257 Au
0.000 0.743 0.743 Au
0.000 0.500 0.500 Ga
0.000 0.000 0.000 Mg
```

The calculation puts the mass density at 10.2 g/cm3. The formation energy comes out at -0.059 eV/atom.



# MgGaAu2

An optimized crystal structure of MgGaAu2 (PBE-GGA, the Alexandria database).

Structure (POSCAR):
```
MgGaAu2
1.0
4.441 0.000 0.000
-2.220 3.846 0.000
0.000 0.000 8.789
Au Mg Ga
4 2 2
direct
0.333 0.667 0.409 Au
0.333 0.667 0.091 Au
0.667 0.333 0.591 Au
0.667 0.333 0.909 Au
0.333 0.667 0.750 Mg
0.667 0.333 0.250 Mg
0.000 0.000 0.500 Ga
0.000 0.000 0.000 Ga
```

The calculation puts the mass density at 10.8 g/cm3. The formation energy comes out at -0.428 eV/atom.



# MgGa3Au

An optimized crystal structure of MgGa3Au (PBE-GGA, the Alexandria database).

Structure (POSCAR):
```
MgGa3Au
1.0
6.156 -1.813 0.000
0.805 5.385 0.000
0.000 0.000 5.409
Ga Mg Au
6 2 2
direct
0.197 0.432 0.552 Ga
0.095 0.855 0.307 Ga
0.095 0.855 0.798 Ga
0.466 0.111 0.298 Ga
0.466 0.111 0.807 Ga
0.364 0.533 0.052 Ga
0.893 0.350 0.052 Mg
0.668 0.615 0.552 Mg
0.827 0.154 0.552 Au
0.733 0.812 0.052 Au
```

The calculation puts the mass density at 7.6 g/cm3. The polymorph energy (0 for the lowest one) comes out at 0.000 kcal/mol of atoms. The formation energy comes out at -0.230 eV/atom.



# Mg2GaAu2

An optimized crystal structure of Mg2GaAu2 (PBE-GGA, the Alexandria database).

Structure (POSCAR):
```
Mg2GaAu2
1.0
-0.388 0.687 -4.089
-4.124 0.358 0.451
-1.625 6.579 -0.861
Ga Mg Au
1 2 2
direct
0.000 0.000 0.000 Ga
0.750 0.250 0.500 Mg
0.250 0.750 0.500 Mg
0.611 0.611 0.779 Au
0.389 0.389 0.221 Au
```

The calculation puts the mass density at 8.0 g/cm3. The polymorph energy (0 for the lowest one) comes out at 5.126 kcal/mol of atoms. The formation energy comes out at -0.223 eV/atom.